# GGA-PBE BaMn2W, relaxed
data_BaMn2W
_cell_length_a 4.8519
_cell_length_b 4.8519
_cell_length_c 4.8519
_cell_angle_alpha 60.00
_cell_angle_beta 60.00
_cell_angle_gamma 60.00
_symmetry_space_group_name_H-M 'P 1'
_symmetry_Int_Tables_number 1
_symmetry_space_group_name_Hall 'P 1'
loop_
_atom_site_label
_atom_site_type_symbol
_atom_site_fract_x
_atom_site_fract_y
_atom_site_fract_z
_atom_site_occupancy
Ba1 Ba 0.0000 0.0000 0.0000 1
Mn1 Mn 0.2500 0.2500 0.2500 1
Mn2 Mn 0.5000 0.5000 0.5000 1
W1 W 0.7500 0.7500 0.7500 1
# Crystal system: cubic
# Total energy: -6.9553 eV per atom
# ΔE to the lowest computed polymorph: 0.759 eV per atom
# Symmetry: No. 216